1.
Here is Nd2TmIn3AgPt2 after structural relaxation from OQMD. Energies are from PBE-GGA.

Results
**Calculated volume**: 209.1 Å³/f.u.
**Total energy**: -4.92 eV/atom
**Spin magnetization**: 0.01 μB per formula unit

abc: 3.9000 7.8582 7.8582
angles: 119.73 90.00 90.00
Closest atoms and distances in Å follow each position.
Positions (direct):
Tm1 0.0000 0.4132 0.4132  4 Pt 3.00, 2 In 3.19, 1 Ag 3.23
In1 0.5000 0.0031 0.2655  2 Ag 2.84, 2 Pt 2.89-3.03
Ag1 0.0000 0.0033 0.0033  6 In 2.84-2.89
Nd1 0.0000 0.9993 0.5880  4 Pt 3.11, 6 In 3.21-3.47, 1 Ag 3.25
Pt1 0.5000 0.6578 0.3364  3 In 2.87-3.03, 2 Tm 3.00, 4 Nd 3.11
In2 0.5000 0.2655 0.0031  2 Ag 2.84, 2 Pt 2.89-3.03
In3 0.5000 0.7334 0.7334  2 Pt 2.87, 2 Ag 2.89, 2 Tm 3.19
Pt2 0.5000 0.3364 0.6578  3 In 2.87-3.03, 2 Tm 3.00, 4 Nd 3.11
Nd2 0.0000 0.5880 0.9993  4 Pt 3.11, 6 In 3.21-3.47, 1 Ag 3.25

2.
Here is NdY2In3AgPt2 after structural relaxation from OQMD. Energies are from PBE-GGA.

Results
**Calculated volume**: 206.2 Å³/f.u.
**Total energy**: -5.35 eV/atom
**Spin magnetization**: 0.00 μB per formula unit

abc: 3.8285 7.8921 7.8921
angles: 120.16 90.00 90.00
Closest atoms and distances in Å follow each position.
Positions (direct):
Y1 0.0000 0.9998 0.4099  4 Pt 3.04, 2 In 3.18, 1 Ag 3.23
Nd1 0.0000 0.5895 0.5895  4 Pt 3.09, 6 In 3.19-3.45, 1 Ag 3.24
In1 0.5000 0.7331 0.0029  2 Ag 2.86, 2 Pt 2.87-2.94, 2 Y 3.18
In2 0.5000 0.0029 0.7331  2 Ag 2.86, 2 Pt 2.87-2.94, 2 Y 3.18
Pt1 0.5000 0.6686 0.3297  3 In 2.87-2.96, 4 Y 3.04, 2 Nd 3.09
Y2 0.0000 0.4099 0.9998  4 Pt 3.04, 2 In 3.18, 1 Ag 3.23
Ag1 0.0000 0.0013 0.0013  6 In 2.82-2.86
Pt2 0.5000 0.3297 0.6686  3 In 2.87-2.96, 4 Y 3.04, 2 Nd 3.09
In3 0.5000 0.2652 0.2652  2 Ag 2.82, 2 Pt 2.96